The following is a PBE calculation of crystalline CsRbCoBr4 at its relaxed geometry, from Alexandria via LeMat-Bulk.

Calculated values
Crystal system: monoclinic
Space group: P2_1/m
V: 39.518 Å³ per atom
Final energy: -3.42 eV/atom

Lattice parameters (Å, degrees): 7.3803 7.7461 10.2800 90.00 109.71 90.00
Sites, in units of the cell vectors:
Cs 0.6937 0.7500 0.9142
Cs 0.3063 0.2500 0.0858
Rb 0.7941 0.7500 0.4636
Rb 0.2059 0.2500 0.5364
Co 0.1947 0.7500 0.2911
Co 0.8053 0.2500 0.7089
Br 0.0131 0.4976 0.7654
Br 0.9869 0.9976 0.2346
Br 0.9869 0.5024 0.2346
Br 0.0131 0.0024 0.7654
Br 0.4063 0.7500 0.1573
Br 0.5937 0.2500 0.8427
Br 0.3567 0.7500 0.5375
Br 0.6433 0.2500 0.4625